Entry 1:
An optimized crystal structure of PrYHoTh, computed with PBE-GGA.

Structure (POSCAR):
```
PrYHoTh
1.0
0.0000 4.0454 4.0454
4.0454 0.0000 4.0454
4.0454 4.0454 0.0000
Pr Y Ho Th
1 1 1 1
direct
0.0000 0.0000 0.0000
0.7500 0.7500 0.7500
0.2500 0.2500 0.2500
0.5000 0.5000 0.5000
```

Results
Energy above the most stable polymorph in this dataset ... 0.1198 eV/atom
VASP energy ... -22.70 eV/cell

***

Entry 2:
An optimized crystal structure of Pr2YHo2Th2, computed with PBE-GGA.

Structure (POSCAR):
```
Pr2YHo2Th2
1.0
5.8433 -1.7233 0.0000
5.8433 1.7233 0.0000
-2.6358 0.0000 11.7096
Pr Y Ho Th
2 1 2 2
direct
0.2049 0.2049 0.3599
0.7951 0.7951 0.6401
0.5000 0.5000 0.5000
0.1529 0.1529 0.0681
0.8471 0.8471 0.9319
0.0945 0.0945 0.7794
0.9055 0.9055 0.2206
```

Results
VASP energy ... -38.67 eV/cell

***

Entry 3:
An optimized crystal structure of Pr6Y3Ho2Th, computed with PBE-GGA.

Structure (POSCAR):
```
Pr6Y3Ho2Th
1.0
3.1551 -5.4628 0.0000
3.1551 5.4628 0.0000
-2.1079 0.0000 11.8111
Pr Y Ho Th
6 3 2 1
direct
0.0831 0.4131 0.7484
0.2467 0.2467 0.2521
0.4131 0.0831 0.7484
0.5869 0.9169 0.2516
0.7533 0.7533 0.7479
0.9169 0.5869 0.2516
0.1668 0.8332 0.0000
0.5000 0.5000 0.0000
0.8332 0.1668 0.0000
0.3334 0.6666 0.5000
0.6666 0.3334 0.5000
0.0000 0.0000 0.5000
```

Results
VASP energy ... -64.27 eV/cell

***

Entry 4:
An optimized crystal structure of PrY3HoTh, computed with PBE-GGA.

Structure (POSCAR):
```
PrY3HoTh
1.0
8.0280 0.0000 0.0000
0.0000 5.0949 0.0000
-3.2866 0.0000 9.6255
Pr Y Ho Th
2 6 2 2
direct
0.1715 0.2500 0.2927
0.8285 0.7500 0.7073
0.1711 0.7500 0.5442
0.1758 0.7500 0.0431
0.1770 0.2500 0.7938
0.8230 0.7500 0.2062
0.8242 0.2500 0.9569
0.8289 0.2500 0.4558
0.4991 0.2500 0.6282
0.5009 0.7500 0.3718
0.4991 0.7500 0.8784
0.5009 0.2500 0.1216
```

Results
VASP energy ... -71.99 eV/cell

***

Entry 5:
An optimized crystal structure of PrY6Ho2Th, computed with PBE-GGA.

Structure (POSCAR):
```
PrY6Ho2Th
1.0
4.6656 -7.4870 0.0000
4.6656 7.4870 0.0000
-1.0683 0.0000 9.4492
Pr Y Ho Th
2 12 4 2
direct
0.0918 0.9082 0.7500
0.9082 0.0918 0.2500
0.0186 0.7942 0.3877
0.0720 0.5174 0.1816
0.2058 0.9814 0.1123
0.2629 0.6129 0.5588
0.3871 0.7371 0.9412
0.4826 0.9280 0.3184
0.5174 0.0720 0.6816
0.6129 0.2629 0.0588
0.7371 0.3871 0.4412
0.7942 0.0186 0.8877
0.9280 0.4826 0.8184
0.9814 0.2058 0.6123
0.2056 0.3038 0.9461
0.3038 0.2056 0.4461
0.6962 0.7944 0.5539
0.7944 0.6962 0.0539
0.4667 0.5333 0.2500
0.5333 0.4667 0.7500
```

Results
VASP energy ... -117.30 eV/cell

***

Entry 6:
An optimized crystal structure of PrY5Ho2Th, computed with PBE-GGA.

Structure (POSCAR):
```
PrY5Ho2Th
1.0
2.8843 -10.6855 0.0000
2.8843 10.6855 0.0000
0.0000 0.0000 9.7594
Pr Y Ho Th
2 10 4 2
direct
0.0961 0.9039 0.5000
0.9039 0.0961 0.0000
0.0280 0.9720 0.8194
0.1107 0.8893 0.1131
0.1955 0.8045 0.7897
0.2337 0.7663 0.4142
0.4868 0.5132 0.0922
0.5132 0.4868 0.5922
0.7663 0.2337 0.9142
0.8045 0.1955 0.2897
0.8893 0.1107 0.6131
0.9720 0.0280 0.3194
0.3676 0.6324 0.7853
0.3877 0.6123 0.3990
0.6123 0.3877 0.8990
0.6324 0.3676 0.2853
0.3100 0.6900 0.1007
0.6900 0.3100 0.6007
```

Results
VASP energy ... -104.41 eV/cell

***

Entry 7:
An optimized crystal structure of Pr6Y2HoTh, computed with PBE-GGA.

Structure (POSCAR):
```
Pr6Y2HoTh
1.0
4.8083 -7.5707 0.0000
4.8083 7.5707 0.0000
-1.0891 0.0000 9.5871
Pr Y Ho Th
12 4 2 2
direct
0.0054 0.5745 0.1910
0.1086 0.7646 0.5622
0.2354 0.8914 0.9378
0.2981 0.5209 0.3844
0.4255 0.9946 0.3090
0.4791 0.7019 0.1156
0.5209 0.2981 0.8844
0.5745 0.0054 0.6910
0.7019 0.4791 0.6156
0.7646 0.1086 0.0622
0.8914 0.2354 0.4378
0.9946 0.4255 0.8090
0.2026 0.2903 0.0550
0.2903 0.2026 0.5550
0.7097 0.7974 0.4450
0.7974 0.7097 0.9450
0.4093 0.5907 0.7500
0.5907 0.4093 0.2500
0.0350 0.9650 0.2500
0.9650 0.0350 0.7500
```

Results
VASP energy ... -104.34 eV/cell

***

Entry 8:
An optimized crystal structure of Pr2Y5HoTh, computed with PBE-GGA.

Structure (POSCAR):
```
Pr2Y5HoTh
1.0
-4.3768 4.3768 7.7931
4.3768 -4.3768 7.7931
4.3768 4.3768 -7.7931
Pr Y Ho Th
4 10 2 2
direct
0.1168 0.6168 0.7335
0.3832 0.1168 0.5000
0.6168 0.8832 0.5000
0.8832 0.3832 0.2665
0.0000 0.0000 0.0000
0.0730 0.1466 0.5000
0.1466 0.6466 0.0735
0.3534 0.4270 0.5000
0.4270 0.9270 0.0735
0.5000 0.5000 0.0000
0.5730 0.0730 0.9265
0.6466 0.5730 0.5000
0.8534 0.3534 0.9265
0.9270 0.8534 0.5000
0.2500 0.7500 0.5000
0.7500 0.2500 0.5000
0.2500 0.2500 0.0000
0.7500 0.7500 0.0000
```

Results
VASP energy ... -102.61 eV/cell

***

Results for M_tot: 0.000; 0.000; 0.000; 0.000; 0.000; 0.000; 0.000; 0.000 (in μB per atom, following the order of the records).
Results for formation enthalpy at 0 K: 52; 130; 36; 17; 144; 142; 138; 248 (in kJ/mol of formula units, following the order of the records).